{
  "formula": "ZrAl4Ir2",
  "functional": "GGA-PBE",
  "state": "optimized geometry",
  "lattice": [[-1.201, -3.951, -0.589], [6.193, -1.720, -1.088], [2.055, -3.100, 16.601]],
  "species": ["Ir", "Ir", "Ir", "Ir", "Ir", "Ir", "Ir", "Ir", "Zr", "Zr", "Zr", "Zr", "Al", "Al", "Al", "Al", "Al", "Al", "Al", "Al", "Al", "Al", "Al", "Al", "Al", "Al", "Al", "Al"],
  "frac_coords": [[0.250, 0.760, 0.539], [0.750, 0.260, 0.961], [0.750, 0.240, 0.461], [0.250, 0.524, 0.284], [0.250, 0.976, 0.784], [0.750, 0.024, 0.216], [0.750, 0.476, 0.716], [0.250, 0.740, 0.039], [0.750, 0.506, 0.141], [0.250, 0.006, 0.359], [0.250, 0.494, 0.859], [0.750, 0.994, 0.641], [0.250, 0.493, 0.431], [0.250, 0.813, 0.186], [0.750, 0.773, 0.808], [0.750, 0.187, 0.814], [0.250, 0.007, 0.931], [0.750, 0.727, 0.308], [0.750, 0.993, 0.069], [0.250, 0.148, 0.534], [0.750, 0.648, 0.966], [0.250, 0.273, 0.692], [0.250, 0.687, 0.686], [0.750, 0.313, 0.314], [0.750, 0.852, 0.466], [0.250, 0.352, 0.034], [0.750, 0.507, 0.569], [0.250, 0.227, 0.192]],
  "spacegroup": "Pnma, No. 62",
  "total_energy_ev_per_atom": -6.661
}

{
  "formula": "Zr2Al2Ir",
  "functional": "GGA-PBE",
  "state": "optimized geometry",
  "lattice": [[-4.008, -2.396, 4.659], [4.953, 0.180, 4.353], [-1.082, 3.892, 1.070]],
  "species": ["Zr", "Zr", "Zr", "Zr", "Ir", "Ir", "Al", "Al", "Al", "Al"],
  "frac_coords": [[0.670, 0.830, 0.500], [0.830, 0.330, 0.500], [0.170, 0.670, 0.500], [0.330, 0.170, 0.500], [0.000, 0.000, 0.000], [0.500, 0.500, 0.000], [0.863, 0.637, 0.000], [0.363, 0.863, 0.000], [0.637, 0.137, 0.000], [0.137, 0.363, 0.000]],
  "spacegroup": "P4/mbm, No. 127",
  "total_energy_ev_per_atom": -7.333
}

{
  "formula": "ZrAl2Ir2",
  "functional": "GGA-PBE",
  "state": "optimized geometry",
  "lattice": [[-1.350, 2.649, -6.814], [-3.899, -6.123, -1.608], [-2.427, 1.288, 0.982]],
  "species": ["Ir", "Ir", "Ir", "Ir", "Al", "Al", "Al", "Al", "Zr", "Zr"],
  "frac_coords": [[0.147, 0.353, 0.000], [0.353, 0.853, 0.000], [0.647, 0.147, 0.000], [0.853, 0.647, 0.000], [0.352, 0.148, 0.500], [0.648, 0.852, 0.500], [0.852, 0.352, 0.500], [0.148, 0.648, 0.500], [0.500, 0.500, 0.000], [0.000, 0.000, 0.000]],
  "spacegroup": "P4/mbm, No. 127",
  "total_energy_ev_per_atom": -7.493
}

{
  "formula": "ZrAl2Ir",
  "functional": "GGA-PBE",
  "state": "optimized geometry",
  "lattice": [[0.000, 3.187, 3.187], [3.187, 0.000, 3.187], [3.187, 3.187, 0.000]],
  "species": ["Ir", "Al", "Al", "Zr"],
  "frac_coords": [[0.500, 0.500, 0.500], [0.250, 0.250, 0.250], [0.750, 0.750, 0.750], [0.000, 0.000, 0.000]],
  "spacegroup": "Fm-3m, No. 225",
  "total_energy_ev_per_atom": -6.703
}

{
  "formula": "ZrAl2Ir",
  "functional": "GGA-PBE",
  "state": "optimized geometry",
  "lattice": [[-0.597, 0.672, -4.464], [-3.320, -2.199, -2.209], [-3.645, 2.286, -1.491]],
  "species": ["Al", "Al", "Ir", "Zr"],
  "frac_coords": [[0.000, 0.000, 0.000], [0.250, 0.250, 0.250], [0.500, 0.500, 0.500], [0.750, 0.750, 0.750]],
  "spacegroup": "F-43m, No. 216",
  "total_energy_ev_per_atom": -6.791
}

{
  "formula": "ZrAl2Ir",
  "functional": "GGA-PBE",
  "state": "optimized geometry",
  "lattice": [[3.888, 0.000, 0.000], [0.000, 3.888, 0.000], [1.944, 1.944, 9.778]],
  "species": ["Al", "Al", "Al", "Al", "Ir", "Ir", "Zr", "Zr"],
  "frac_coords": [[0.875, 0.885, 0.750], [0.375, 0.365, 0.750], [0.115, 0.625, 0.250], [0.635, 0.125, 0.250], [0.000, 0.000, 0.000], [0.750, 0.250, 0.500], [0.250, 0.750, 0.500], [0.500, 0.500, 0.000]],
  "spacegroup": "I-42d, No. 122",
  "total_energy_ev_per_atom": -6.445
}

{
  "formula": "Zr2AlIr",
  "functional": "GGA-PBE",
  "state": "optimized geometry",
  "lattice": [[-3.768, -8.308, 0.790], [-2.176, -8.172, 3.511], [-5.051, -6.888, 3.299]],
  "species": ["Zr", "Zr", "Ir", "Al"],
  "frac_coords": [[0.248, 0.248, 0.248], [0.008, 0.008, 0.008], [0.755, 0.755, 0.755], [0.490, 0.490, 0.490]],
  "spacegroup": "R3m, No. 160",
  "total_energy_ev_per_atom": -7.658
}

{
  "formula": "Zr2AlIr",
  "functional": "GGA-PBE",
  "state": "optimized geometry",
  "lattice": [[9.588, 0.085, 0.050], [9.078, 3.087, 0.050], [9.078, 1.543, 2.674]],
  "species": ["Al", "Zr", "Zr", "Ir"],
  "frac_coords": [[0.250, 0.250, 0.250], [0.496, 0.496, 0.496], [0.004, 0.004, 0.004], [0.750, 0.750, 0.750]],
  "spacegroup": "R-3m, No. 166",
  "total_energy_ev_per_atom": -7.690
}

{
  "formula": "Zr2AlIr",
  "functional": "GGA-PBE",
  "state": "optimized geometry",
  "lattice": [[4.203, 0.000, 0.000], [0.000, 3.527, 0.009], [0.000, 1.751, 5.213]],
  "species": ["Ir", "Al", "Zr", "Zr"],
  "frac_coords": [[0.500, 0.542, 0.789], [0.000, 0.701, 0.473], [0.500, 0.275, 0.325], [0.000, 0.981, 0.913]],
  "spacegroup": "Amm2, No. 38",
  "total_energy_ev_per_atom": -8.071
}

{
  "formula": "ZrAl2Ir",
  "functional": "GGA-PBE",
  "state": "optimized geometry",
  "lattice": [[5.556, -0.011, 0.002], [2.496, 4.963, -0.002], [-3.253, -3.733, 2.520]],
  "species": ["Ir", "Zr", "Al", "Al"],
  "frac_coords": [[0.750, 0.250, 0.500], [0.250, 0.750, 0.500], [0.973, 0.973, 0.000], [0.527, 0.527, 0.000]],
  "spacegroup": "Immm, No. 71",
  "total_energy_ev_per_atom": -6.722
}

{
  "formula": "Zr2AlIr",
  "functional": "GGA-PBE",
  "state": "optimized geometry",
  "lattice": [[4.350, 0.000, 0.000], [0.000, 5.328, -1.994], [0.000, -0.335, 6.791]],
  "species": ["Zr", "Zr", "Zr", "Zr", "Ir", "Ir", "Al", "Al"],
  "frac_coords": [[0.250, 0.828, 0.583], [0.750, 0.172, 0.417], [0.750, 0.230, 0.918], [0.250, 0.770, 0.082], [0.250, 0.353, 0.696], [0.750, 0.647, 0.304], [0.750, 0.663, 0.773], [0.250, 0.337, 0.227]],
  "spacegroup": "P2_1/m, No. 11",
  "total_energy_ev_per_atom": -8.101
}

{
  "formula": "Zr3Al3Ir",
  "functional": "GGA-PBE",
  "state": "optimized geometry",
  "lattice": [[3.477, 0.000, 0.000], [-1.738, 5.350, 0.000], [0.000, 0.000, 14.133]],
  "species": ["Zr", "Zr", "Zr", "Zr", "Zr", "Zr", "Al", "Al", "Al", "Al", "Al", "Al", "Ir", "Ir"],
  "frac_coords": [[0.811, 0.623, 0.092], [0.189, 0.377, 0.592], [0.497, 0.994, 0.250], [0.189, 0.377, 0.908], [0.811, 0.623, 0.408], [0.503, 0.006, 0.750], [0.091, 0.183, 0.104], [0.909, 0.817, 0.604], [0.091, 0.183, 0.396], [0.232, 0.464, 0.250], [0.768, 0.536, 0.750], [0.909, 0.817, 0.896], [0.500, 0.000, 0.500], [0.500, 0.000, 0.000]],
  "spacegroup": "Cmcm, No. 63",
  "total_energy_ev_per_atom": -7.133
}